# 1
Cs2RbPa3Se8 after structural relaxation, computed with PBE.

Structure (POSCAR):
```
Cs2RbPa3Se8
1.0
-8.495 -0.240 -1.440
-3.035 -3.368 -7.331
-4.258 -8.964 0.813
Cs Rb Pa Se
2 1 3 8
direct
0.137 0.137 0.589
0.499 0.499 0.503
0.866 0.866 0.401
0.500 0.998 0.002
0.998 0.500 0.002
0.500 0.500 0.002
0.274 0.274 0.178
0.726 0.726 0.821
0.239 0.239 0.830
0.692 0.239 0.830
0.239 0.692 0.830
0.759 0.305 0.177
0.305 0.759 0.177
0.759 0.759 0.177
```

Results
The volume comes out at 39.637 A^3/atom. The raw formation energy is -1.358 eV per atom. As for the spin magnetization: 2.032 Bohr magnetons per cell. Its density of states at the Fermi level is 11.02 states/eV per cell. Its space group is No. 160.

# 2
Cs2RbPaSe4 after structural relaxation, computed with PBE.

Structure (POSCAR):
```
Cs2RbPaSe4
1.0
-1.670 -2.974 -2.907
1.317 -6.363 5.752
-6.881 -0.744 4.715
Cs Rb Pa Se
2 1 1 4
direct
0.000 0.000 0.000
0.500 0.000 0.500
0.500 0.500 0.000
0.000 0.500 0.500
0.000 0.689 0.701
0.000 0.311 0.299
0.500 0.685 0.310
0.500 0.315 0.690
```

Results
The volume comes out at 38.656 A^3/atom. The raw formation energy is -1.341 eV per atom. As for the spin magnetization: 0.000 Bohr magnetons per cell. Its space group is No. 10.